No. 1
Below is Pr2GePt after structural relaxation, with properties calculated at the PBE level.

Summary:
**Total magnetic moment**: 0.00 μB/f.u.
**Crystal system**: orthorhombic
**Final energy**: -6.0145 eV per atom

a b c (Å): 4.405 5.946 7.810
angles (deg): 90.00 90.00 90.00
Space group Pmc2_1 (No. 26)
Symmetry-distinct sites (fractional):
Pr 0.000 0.108 0.000
Pr 0.500 0.380 0.358
Ge 0.000 0.388 0.639
Pt 0.500 0.108 0.722

No. 2
Below is Rb3LiIrO4 after structural relaxation, with properties calculated at the PBE level.

Summary:
**Total magnetic moment**: 3.00 μB/f.u.
**Crystal system**: monoclinic
**Final energy**: -5.0155 eV per atom

a b c (Å): 10.914 10.026 6.056
angles (deg): 90.00 105.15 90.00
Space group C2/c (No. 15)
Symmetry-distinct sites (fractional):
Rb 0.000 0.095 0.250
Rb 0.157 0.411 0.482
Li 0.000 0.230 0.750
Ir 0.250 0.250 0.000
O 0.090 0.322 0.026
O 0.157 0.139 0.750

Look up the total magnetic moment of the first one.
0.00 μB/f.u.

The lowest total magnetic moment belongs to which entry?
Pr2GePt

The lowest final energy belongs to which entry?
Pr2GePt

Which value of final energy does entry 1 give?
-6.0145 eV per atom